CsNaCa2Ir: optimized geometry, PBE.

abc: 5.605 5.605 6.155
angles: 90.00 90.00 90.00
Fractional positions:
1 Cs 0.500 0.500 0.500
2 Na 0.000 0.000 0.500
3 Ca 0.000 0.500 0.000
4 Ca 0.500 0.000 0.000
5 Ir 0.000 0.000 0.000

## Properties
The value obtained for the total energy is -14.57 eV/cell. As for the crystal system: tetragonal. The value obtained for the formation energy is 0.0938 eV per atom. The magnetization comes out at 0.00 μB per formula unit.

Cs3Ca2IrO6: optimized geometry, PBE.

abc: 6.072 6.072 6.966
angles: 98.25 98.25 119.92
Fractional positions:
1 Cs 0.167 0.833 0.500
2 Cs 0.833 0.167 0.500
3 Cs 0.500 0.500 0.500
4 Ca 0.334 0.666 0.000
5 Ca 0.666 0.334 0.000
6 Ir 0.000 0.000 0.000
7 O 0.945 0.659 0.838
8 O 0.766 0.766 0.167
9 O 0.055 0.341 0.162
10 O 0.659 0.945 0.838
11 O 0.234 0.234 0.833
12 O 0.341 0.055 0.162

## Properties
The value obtained for the total energy is -64.50 eV/cell. For the uncorrected formation energy, the calculation gives -1.6101 eV per atom. As for the crystal system: monoclinic. The magnetization comes out at 2.01 μB per formula unit.

CsCa2IrPb: optimized geometry, PBE.

abc: 5.738 5.738 5.344
angles: 90.00 90.00 90.00
Fractional positions:
1 Pb 0.000 0.000 0.500
2 Cs 0.500 0.500 0.500
3 Ca 0.000 0.500 0.000
4 Ca 0.500 0.000 0.000
5 Ir 0.000 0.000 0.000

## Properties
The value obtained for the total energy is -18.10 eV/cell. As for the crystal system: tetragonal. The value obtained for the formation energy is -0.1346 eV per atom. The magnetization comes out at 0.31 μB per formula unit.

CsCaIr2Pd: optimized geometry, PBE.

abc: 5.108 5.108 5.108
angles: 90.00 90.00 90.00
Fractional positions:
1 Cs 0.000 0.000 0.000
2 Ca 0.500 0.500 0.500
3 Ir 0.000 0.000 0.500
4 Ir 0.500 0.000 0.000
5 Pd 0.000 0.500 0.000

## Properties
The value obtained for the total energy is -17.04 eV/cell. As for the crystal system: tetragonal. The value obtained for the formation energy is 1.7452 eV per atom. The magnetization comes out at 0.00 μB per formula unit.